Record 1
VASP calculation (PBE) on an optimized crystal structure of P2Ir.

Calculated volume ... 51.4 Å³ per cell
E ... -6.81 eV/atom
Magnetization ... 0.000 μB per atom
Crystal system ... orthorhombic

Cell and atoms, written as CIF:
```
data_P2Ir
_cell_length_a 4.276
_cell_length_b 4.276
_cell_length_c 4.276
_cell_angle_alpha 132.62
_cell_angle_beta 110.08
_cell_angle_gamma 88.83
_symmetry_space_group_name_H-M 'P 1'
_symmetry_Int_Tables_number 1
_symmetry_space_group_name_Hall 'P 1'
loop_
_atom_site_label
_atom_site_type_symbol
_atom_site_fract_x
_atom_site_fract_y
_atom_site_fract_z
P1 P 0.221 0.000 0.221
P2 P 0.779 0.000 0.779
Ir1 Ir 0.644 0.644 0.000
```


Record 2
VASP calculation (PBE) on an optimized crystal structure of P2Ir.

Calculated volume ... 52.2 Å³ per cell
E ... -6.55 eV/atom
Magnetization ... 0.000 μB per atom
Crystal system ... triclinic

Cell and atoms, written as CIF:
```
data_P2Ir
_cell_length_a 3.118
_cell_length_b 4.060
_cell_length_c 4.486
_cell_angle_alpha 70.68
_cell_angle_beta 80.31
_cell_angle_gamma 78.47
_symmetry_space_group_name_H-M 'P 1'
_symmetry_Int_Tables_number 1
_symmetry_space_group_name_Hall 'P 1'
loop_
_atom_site_label
_atom_site_type_symbol
_atom_site_fract_x
_atom_site_fract_y
_atom_site_fract_z
P1 P 0.000 0.000 0.000
P2 P 0.489 0.685 0.319
Ir1 Ir 0.059 0.186 0.464
```


Record 3
VASP calculation (PBE) on an optimized crystal structure of PIr.

Calculated volume ... 113.8 Å³ per cell
E ... -7.37 eV/atom
Magnetization ... 0.000 μB per atom
Crystal system ... cubic

Cell and atoms, written as CIF:
```
data_PIr
_cell_length_a 4.846
_cell_length_b 4.846
_cell_length_c 4.846
_cell_angle_alpha 90.00
_cell_angle_beta 90.00
_cell_angle_gamma 90.00
_symmetry_space_group_name_H-M 'P 1'
_symmetry_Int_Tables_number 1
_symmetry_space_group_name_Hall 'P 1'
loop_
_atom_site_label
_atom_site_type_symbol
_atom_site_fract_x
_atom_site_fract_y
_atom_site_fract_z
P1 P 0.065 0.065 0.065
P2 P 0.435 0.935 0.565
P3 P 0.565 0.435 0.935
P4 P 0.935 0.565 0.435
Ir1 Ir 0.046 0.546 0.954
Ir2 Ir 0.454 0.454 0.454
Ir3 Ir 0.546 0.954 0.046
Ir4 Ir 0.954 0.046 0.546
```


Record 4
VASP calculation (PBE) on an optimized crystal structure of P3Ir.

Calculated volume ... 263.9 Å³ per cell
E ... -6.92 eV/atom
Magnetization ... 0.000 μB per atom
Energy above the most stable polymorph in this dataset ... 0 meV/atom
Crystal system ... cubic

Cell and atoms, written as CIF:
```
data_P3Ir
_cell_length_a 6.998
_cell_length_b 6.998
_cell_length_c 6.998
_cell_angle_alpha 109.47
_cell_angle_beta 109.47
_cell_angle_gamma 109.47
_symmetry_space_group_name_H-M 'P 1'
_symmetry_Int_Tables_number 1
_symmetry_space_group_name_Hall 'P 1'
loop_
_atom_site_label
_atom_site_type_symbol
_atom_site_fract_x
_atom_site_fract_y
_atom_site_fract_z
P1 P 0.139 0.494 0.355
P2 P 0.139 0.785 0.645
P3 P 0.215 0.355 0.861
P4 P 0.355 0.139 0.494
P5 P 0.355 0.861 0.215
P6 P 0.494 0.355 0.139
P7 P 0.506 0.645 0.861
P8 P 0.645 0.139 0.785
P9 P 0.645 0.861 0.506
P10 P 0.785 0.645 0.139
P11 P 0.861 0.215 0.355
P12 P 0.861 0.506 0.645
Ir1 Ir 0.000 0.000 0.500
Ir2 Ir 0.000 0.500 0.000
Ir3 Ir 0.500 0.000 0.000
Ir4 Ir 0.500 0.500 0.500
```